*1*
4
Lattice="0.000 2.858 2.858 2.858 0.000 2.858 2.858 2.858 0.000" Properties=species:S:1:pos:R:3 comment="PBE B2TeC, relaxed" dos_ef_per_ev_atom=0.5243 pbc="T T T"
B 4.288 4.288 4.288
Te 2.858 2.858 2.858
C 0.000 0.000 0.000
B 1.429 1.429 1.429

*2*
8
Lattice="-3.299 -2.666 -1.771 1.907 0.405 -4.163 1.755 -4.680 -2.190" Properties=species:S:1:pos:R:3 comment="PBE B2TeC, relaxed" dos_ef_per_ev_atom=0.0000 pbc="T T T"
B 0.840 -1.556 -3.574
B 1.013 -4.311 -4.345
Te -1.120 -4.238 -3.464
C 1.483 -2.703 -4.660
B -1.007 -2.480 -1.972
Te 0.000 0.000 0.000
C -0.696 -1.130 -2.967
B -0.120 -5.535 -6.357

Preferred: *2*; penalty for the next structure: 2.174 eV/atom.

*1*
5
Lattice="-0.085 -2.834 1.938 2.957 0.924 1.481 -1.744 1.705 2.417" Properties=species:S:1:pos:R:3 comment="PBE TiBC3, relaxed" dos_ef_per_ev_atom=0.5633 pbc="T T T"
C -0.042 -1.417 0.969
C 1.479 0.462 0.741
C -0.872 0.853 1.209
Ti 0.564 -0.102 2.918
B 0.000 0.000 0.000

*2*
5
Lattice="4.037 0.000 0.000 0.000 4.037 0.000 0.000 0.000 4.037" Properties=species:S:1:pos:R:3 comment="PBE TiBC3, relaxed" dos_ef_per_ev_atom=0.3195 pbc="T T T"
Ti 0.000 0.000 0.000
C 0.000 0.000 2.019
C 0.000 2.019 0.000
C 2.019 0.000 0.000
B 2.019 2.019 2.019

Preferred: *1*; penalty for the next structure: 1.185 eV/atom.

*1*
6
Lattice="1.417 -2.454 0.000 1.417 2.454 0.000 0.000 0.000 7.047" Properties=species:S:1:pos:R:3 comment="PBE TiBC, relaxed" dos_ef_per_ev_atom=0.5346 pbc="T T T"
C 1.417 0.818 1.762
B 1.417 0.818 5.285
B 1.417 -0.818 1.762
Ti 0.000 0.000 0.000
Ti 0.000 0.000 3.523
C 1.417 -0.818 5.285

*2*
6
Lattice="-1.032 -2.468 1.542 2.807 -0.868 0.491 -0.789 5.423 5.061" Properties=species:S:1:pos:R:3 comment="PBE TiBC, relaxed" dos_ef_per_ev_atom=0.4556 pbc="T T T"
B 0.627 -2.289 1.404
Ti 1.437 0.868 2.352
B 1.147 -1.047 0.628
C -0.482 0.085 2.906
Ti -0.452 1.220 4.742
C 1.467 2.002 4.187

Preferred: *1*; penalty for the next structure: 0.623 eV/atom.

*1*
4
Lattice="3.075 0.000 0.000 1.538 2.663 0.000 1.538 0.888 5.316" Properties=species:S:1:pos:R:3 comment="PBE Ti2BC, relaxed" dos_ef_per_ev_atom=0.3985 pbc="T T T"
Ti 4.613 2.663 3.888
C 3.075 1.775 2.658
B 0.000 0.000 0.000
Ti 1.538 0.888 1.427

*2*
8
Lattice="-0.936 5.195 2.269 -0.014 -2.302 5.264 2.242 1.855 3.952" Properties=species:S:1:pos:R:3 comment="PBE Ti2BC, relaxed" dos_ef_per_ev_atom=0.6401 pbc="T T T"
C 0.416 4.248 4.994
B -0.475 1.447 3.767
Ti 1.326 2.519 5.692
Ti 0.850 3.880 9.653
C 0.000 0.000 0.000
Ti 0.452 -0.421 4.520
Ti -0.044 3.519 3.106
B 0.877 0.500 6.492

Preferred: *1*; penalty for the next structure: 0.495 eV/atom.

*1*
4
Lattice="3.757 -0.798 -0.710 1.953 -2.445 2.337 1.034 -3.535 -1.299" Properties=species:S:1:pos:R:3 comment="PBE Ti2BC, relaxed" dos_ef_per_ev_atom=1.8891 pbc="T T T"
Ti 1.686 -1.695 0.082
C 3.371 -3.389 0.164
Ti 5.057 -5.084 0.245
B 0.000 0.000 0.000

*2*
8
Lattice="3.046 0.000 0.000 0.000 3.169 0.000 0.000 -1.584 8.785" Properties=species:S:1:pos:R:3 comment="PBE Ti2BC, relaxed" dos_ef_per_ev_atom=0.3609 pbc="T T T"
C 0.761 0.000 3.319
B 2.284 1.584 0.475
C 2.284 1.584 5.467
Ti 0.761 0.000 1.234
Ti 2.284 1.584 7.551
Ti 2.284 1.584 3.361
Ti 0.761 0.000 5.424
B 0.761 0.000 8.310

Preferred: *2*; penalty for the next structure: 1.141 eV/atom.

*1*
5
Lattice="3.751 0.000 0.000 0.000 3.751 0.000 0.000 0.000 3.751" Properties=species:S:1:pos:R:3 comment="PBE TlB3C, relaxed" dos_ef_per_ev_atom=0.3817 pbc="T T T"
C 0.000 0.000 0.000
Tl 1.876 1.876 1.876
B 1.876 0.000 0.000
B 0.000 0.000 1.876
B 0.000 1.876 0.000

*2*
5
Lattice="4.529 0.000 0.000 0.000 4.529 0.000 0.000 0.000 4.529" Properties=species:S:1:pos:R:3 comment="PBE TlB3C, relaxed" dos_ef_per_ev_atom=0.3894 pbc="T T T"
Tl 0.000 0.000 0.000
C 2.265 2.265 2.265
B 0.000 0.000 2.265
B 2.265 0.000 0.000
B 0.000 2.265 0.000

Preferred: *1*; penalty for the next structure: 1.659 eV/atom.

*1*
8
Lattice="5.579 0.000 0.000 0.000 5.579 0.000 2.789 2.789 5.092" Properties=species:S:1:pos:R:3 comment="PBE Tl2BC, relaxed" dos_ef_per_ev_atom=0.7948 pbc="T T T"
C 5.579 2.789 2.546
Tl 1.316 4.184 1.273
Tl 4.263 1.395 1.273
C 0.000 0.000 0.000
B 2.789 2.789 0.000
Tl 4.184 4.105 3.819
Tl 6.973 7.052 3.819
B 2.789 5.579 2.546

*2*
4
Lattice="-2.133 -2.974 -2.894 -4.394 0.802 -1.347 -0.897 1.265 -4.400" Properties=species:S:1:pos:R:3 comment="PBE Tl2BC, relaxed" dos_ef_per_ev_atom=0.7886 pbc="T T T"
Tl -5.568 -0.680 -6.481
C -3.712 -0.453 -4.321
B 0.000 0.000 0.000
Tl -1.856 -0.227 -2.160

Preferred: *1*; penalty for the next structure: 0.402 eV/atom.

*1*
8
Lattice="-0.478 4.818 -0.177 -3.868 -0.277 2.904 0.198 2.623 4.555" Properties=species:S:1:pos:R:3 comment="PBE TlB2C, relaxed" dos_ef_per_ev_atom=0.5195 pbc="T T T"
B -2.029 3.631 4.850
B -0.665 2.951 1.416
B -3.108 5.980 5.392
C -2.173 2.271 1.364
B -2.496 1.766 2.907
Tl 0.000 0.000 0.000
C -2.922 2.308 4.411
Tl -1.227 4.856 2.871

*2*
4
Lattice="1.904 -0.461 3.691 -1.805 1.453 3.477 -1.538 -2.666 2.826" Properties=species:S:1:pos:R:3 comment="PBE TlB2C, relaxed" dos_ef_per_ev_atom=0.4429 pbc="T T T"
C 0.000 0.000 0.000
B -1.080 -1.255 7.495
B -0.360 -0.418 2.498
Tl -0.720 -0.837 4.997

Preferred: *1*; penalty for the next structure: 1.993 eV/atom.

*1*
8
Lattice="4.406 0.000 0.000 0.000 4.406 0.000 2.203 2.203 4.696" Properties=species:S:1:pos:R:3 comment="PBE TlBC2, relaxed" dos_ef_per_ev_atom=0.2316 pbc="T T T"
C 2.610 1.101 1.174
Tl 4.406 2.203 2.348
B 2.203 2.203 0.000
Tl 0.000 0.000 0.000
C 1.795 3.304 1.174
C 3.304 3.998 3.522
C 5.507 4.813 3.522
B 2.203 4.406 2.348

*2*
4
Lattice="1.002 -3.842 0.898 1.506 -0.906 3.671 -2.243 -2.121 2.653" Properties=species:S:1:pos:R:3 comment="PBE TlBC2, relaxed" dos_ef_per_ev_atom=0.8177 pbc="T T T"
B 0.000 0.000 0.000
C 0.066 -1.717 1.805
C 0.199 -5.151 5.416
Tl 0.132 -3.434 3.611

Preferred: *1*; penalty for the next structure: 1.984 eV/atom.

*1*
5
Lattice="3.707 0.000 0.000 0.000 3.707 0.000 0.000 0.000 3.707" Properties=species:S:1:pos:R:3 comment="PBE TlBC3, relaxed" dos_ef_per_ev_atom=0.7762 pbc="T T T"
B 0.000 0.000 0.000
C 1.854 0.000 0.000
C 0.000 0.000 1.854
Tl 1.854 1.854 1.854
C 0.000 1.854 0.000

*2*
5
Lattice="4.459 0.000 0.000 0.000 4.459 0.000 0.000 0.000 4.459" Properties=species:S:1:pos:R:3 comment="PBE TlBC3, relaxed" dos_ef_per_ev_atom=1.0457 pbc="T T T"
B 2.230 2.230 2.230
C 0.000 0.000 2.230
Tl 0.000 0.000 0.000
C 2.230 0.000 0.000
C 0.000 2.230 0.000

Preferred: *1*; penalty for the next structure: 1.786 eV/atom.

*1*
4
Lattice="3.530 0.000 0.000 1.765 3.057 0.000 1.765 1.019 6.960" Properties=species:S:1:pos:R:3 comment="PBE U2BC, relaxed" dos_ef_per_ev_atom=1.8967 pbc="T T T"
C 0.000 0.000 0.000
B 3.530 2.038 3.480
U 1.765 1.019 4.925
U 5.295 3.057 2.035

*2*
16
Lattice="6.532 0.000 0.000 0.000 6.530 0.000 0.000 0.000 5.399" Properties=species:S:1:pos:R:3 comment="PBE U2BC, relaxed" dos_ef_per_ev_atom=1.7180 pbc="T T T"
U 4.899 1.632 4.748
B 2.765 0.000 1.999
U 4.899 4.897 4.748
U 1.633 4.897 0.651
C 3.266 5.179 2.699
U 4.445 3.265 1.346
U 1.179 0.000 4.053
B 6.031 3.265 3.400
C 3.266 1.351 2.699
B 0.501 3.265 1.999
U 1.633 1.632 0.651
C 0.000 1.914 2.699
U 5.353 0.000 1.346
U 2.087 3.265 4.053
C 0.000 4.615 2.699
B 3.766 0.000 3.400

Preferred: *2*; penalty for the next structure: 0.803 eV/atom.

*1*
8
Lattice="2.867 0.000 0.000 0.000 4.236 -0.202 0.000 -1.756 5.814" Properties=species:S:1:pos:R:3 comment="PBE V2BC, relaxed" dos_ef_per_ev_atom=0.5340 pbc="T T T"
V 2.150 1.428 5.262
V 0.717 2.320 3.190
B 2.150 2.291 1.495
B 0.717 0.189 4.117
C 0.717 3.166 1.112
C 2.150 -0.686 4.499
V 0.717 1.052 0.349
V 2.150 0.159 2.422

*2*
8
Lattice="4.627 0.000 0.000 0.000 4.627 0.000 2.313 2.313 4.597" Properties=species:S:1:pos:R:3 comment="PBE V2BC, relaxed" dos_ef_per_ev_atom=0.7208 pbc="T T T"
V 3.470 3.378 3.448
B 2.313 2.313 0.000
V 3.562 1.157 1.149
V 5.783 5.876 3.448
B 2.313 4.627 2.298
C 4.627 2.313 2.298
V 1.064 3.470 1.149
C 0.000 0.000 0.000

*3*
8
Lattice="2.953 0.000 0.000 0.000 2.952 -0.524 0.000 -0.016 8.481" Properties=species:S:1:pos:R:3 comment="PBE V2BC, relaxed" dos_ef_per_ev_atom=0.5297 pbc="T T T"
V 0.738 0.902 5.079
B 2.215 1.561 0.216
V 0.738 0.209 1.176
V 2.215 2.033 2.878
C 0.738 0.552 3.108
V 2.215 2.727 6.781
C 2.215 2.384 4.849
B 0.738 1.375 7.741

Preferred: *3*; penalty for the next structure: 0.110 eV/atom.

*1*
5
Lattice="-0.931 -3.229 -0.506 0.208 -0.584 3.341 -3.262 0.885 0.357" Properties=species:S:1:pos:R:3 comment="PBE VBC3, relaxed" dos_ef_per_ev_atom=0.9510 pbc="T T T"
C -1.631 0.442 0.179
V -1.993 -1.464 1.596
C 0.104 -0.292 1.671
C -0.466 -1.614 -0.253
B 0.000 0.000 0.000

*2*
5
Lattice="3.900 0.000 0.000 0.000 3.900 0.000 0.000 0.000 3.900" Properties=species:S:1:pos:R:3 comment="PBE VBC3, relaxed" dos_ef_per_ev_atom=0.4406 pbc="T T T"
B 1.950 1.950 1.950
C 0.000 1.950 0.000
V 0.000 0.000 0.000
C 1.950 0.000 0.000
C 0.000 0.000 1.950

Preferred: *1*; penalty for the next structure: 0.660 eV/atom.